Below is a relaxed structure of CsPbBr2, with properties calculated at the PBE level.

Computed properties:
The uncorrected energy is -2.7944 eV per atom. Its excess energy over the best structure of this formula in the dataset is 67 meV/atom. The calculation puts the mass density at 5.7 g/cm3. The density of states at the Fermi level is 0.756 states/eV per atom.

Cell: 8.337 8.337 8.337 Å, 90.00 90.00 90.00°
Space group Fm-3m (No. 225)
Inequivalent atoms, fractional coordinates:
Cs: 0.000 0.000 0.000
Pb: 0.000 0.000 0.500
Br: 0.250 0.250 0.250

***

Below is a relaxed structure of CsPbBr2, with properties calculated at the PBE level.

Computed properties:
The uncorrected energy is -2.7606 eV per atom. Its excess energy over the best structure of this formula in the dataset is 101 meV/atom. The calculation puts the mass density at 4.0 g/cm3. The density of states at the Fermi level is 0.672 states/eV per atom.

Cell: 4.9653 4.9653 29.0971 Å, 90.00 90.00 120.00°
Space group R-3m (No. 166, hexagonal axes)
Inequivalent atoms, fractional coordinates:
Cs: 0.0000 0.0000 0.0000
Pb: 0.0000 0.0000 0.5000
Br: 0.0000 0.0000 0.1186

***

Below is a relaxed structure of Cs2PbBr4, with properties calculated at the PBE level.

Computed properties:
The uncorrected energy is -3.1639 eV per atom. Its excess energy over the best structure of this formula in the dataset is 0 meV/atom. The calculation puts the mass density at 4.0 g/cm3. The density of states at the Fermi level is 0.000 states/eV per atom.

Cell: 5.970 5.970 18.343 Å, 90.00 90.00 90.00°
Space group I4/mmm (No. 139)
Inequivalent atoms, fractional coordinates:
Cs: 0.000 0.000 0.140
Pb: 0.000 0.000 0.500
Br: 0.000 0.000 0.335
Br: 0.000 0.500 0.000

***

Below is a relaxed structure of Cs3Pb2Br6, with properties calculated at the PBE level.

Computed properties:
The uncorrected energy is -3.0873 eV per atom. The calculation puts the mass density at 4.4 g/cm3. The density of states at the Fermi level is 0.202 states/eV per atom.

Cell: 6.021 6.021 26.822 Å, 90.00 90.00 90.00°
Space group I4/mmm (No. 139)
Inequivalent atoms, fractional coordinates:
Cs: 0.000 0.000 0.000
Cs: 0.000 0.000 0.179
Pb: 0.000 0.000 0.428
Br: 0.000 0.000 0.311
Br: 0.000 0.500 0.082

***

Below is a relaxed structure of CsPbBr, with properties calculated at the PBE level.

Computed properties:
The uncorrected energy is -2.9445 eV per atom. The calculation puts the mass density at 4.7 g/cm3. The density of states at the Fermi level is 0.205 states/eV per atom.

Cell: 5.796 5.804 10.787 Å, 90.06 105.50 119.88°
Space group P-1 (No. 2)
Inequivalent atoms, fractional coordinates:
Cs: 0.191 0.096 0.289
Pb: 0.360 0.680 0.040
Br: 0.436 0.218 0.650

***

Below is a relaxed structure of Cs12Pb3Br5, with properties calculated at the PBE level.

Computed properties:
The uncorrected energy is -2.3164 eV per atom. The calculation puts the mass density at 3.2 g/cm3. The density of states at the Fermi level is 0.517 states/eV per atom.

Cell: 22.163 22.163 22.163 Å, 90.00 90.00 90.00°
Space group Ia-3d (No. 230)
Inequivalent atoms, fractional coordinates:
Cs: 0.020 0.064 0.652
Pb: 0.000 0.250 0.125
Br: 0.000 0.000 0.000
Br: 0.000 0.250 0.375

***

Below is a relaxed structure of Cs2PbBr6, with properties calculated at the PBE level.

Computed properties:
The uncorrected energy is -2.8252 eV per atom. The calculation puts the mass density at 4.4 g/cm3. The density of states at the Fermi level is 0.000 states/eV per atom.

Cell: 11.287 11.287 11.287 Å, 90.00 90.00 90.00°
Space group Fm-3m (No. 225)
Inequivalent atoms, fractional coordinates:
Cs: 0.250 0.250 0.250
Pb: 0.000 0.000 0.000
Br: 0.000 0.000 0.244

***

Below is a relaxed structure of CsPb4Br8, with properties calculated at the PBE level.

Computed properties:
The uncorrected energy is -3.1639 eV per atom. Its excess energy over the best structure of this formula in the dataset is 0 meV/atom. The calculation puts the mass density at 4.4 g/cm3. The density of states at the Fermi level is 0.413 states/eV per atom.

Cell: 13.446 13.446 13.446 Å, 90.00 90.00 90.00°
Space group F-43m (No. 216)
Inequivalent atoms, fractional coordinates:
Cs: 0.000 0.000 0.000
Pb: 0.122 0.122 0.622
Br: 0.109 0.109 0.391
Br: 0.147 0.147 0.853

***

Below is a relaxed structure of Cs2PbBr, with properties calculated at the PBE level.

Computed properties:
The uncorrected energy is -2.3490 eV per atom. Its excess energy over the best structure of this formula in the dataset is 0 meV/atom. The calculation puts the mass density at 4.5 g/cm3. The density of states at the Fermi level is 0.000 states/eV per atom.

Cell: 9.345 9.345 9.345 Å, 90.00 90.00 90.00°
Space group Fm-3m (No. 225)
Inequivalent atoms, fractional coordinates:
Cs: 0.250 0.250 0.250
Pb: 0.000 0.000 0.000
Br: 0.000 0.000 0.500

***

Below is a relaxed structure of CsPb4Br8, with properties calculated at the PBE level.

Computed properties:
The uncorrected energy is -3.1306 eV per atom. Its excess energy over the best structure of this formula in the dataset is 33 meV/atom. The calculation puts the mass density at 4.6 g/cm3. The density of states at the Fermi level is 0.400 states/eV per atom.

Cell: 8.4539 8.4539 18.7511 Å, 90.00 90.00 120.00°
Space group P6_3/mmc (No. 194)
Inequivalent atoms, fractional coordinates:
Cs: 0.0000 0.0000 0.0000
Pb: 0.0000 0.0000 0.2500
Pb: 0.0173 0.5087 0.2500
Br: 0.1692 0.3385 0.6461
Br: 0.3333 0.6667 0.1433

***

E_form (uncorrected) per entry: -0.82 -0.78 -1.43 -1.27 -0.87 -0.83 -1.11 -0.93 -0.58 -0.89 eV/atom